(1)
VASP calculation (GGA+U) on a relaxed structure of NaAlCr2O8.

As for the density: 2.86 g cm⁻³. The calculation puts the size of the total moment at 0.000 μB per cell. The total DFT energy (no corrections) is -6.6010 eV/atom.

a = 5.0181 Å, b = 5.0181 Å, c = 22.5094 Å
α = 90.00°, β = 90.00°, γ = 120.00°
Space group R-3 (No. 148, hexagonal axes)
Asymmetric unit:
1 Na 0.0000 0.0000 0.0000 [3 per cell]
2 Al 0.0000 0.0000 0.5000 [3 per cell]
3 Cr 0.0000 0.0000 0.2404 [6 per cell]
4 O 0.0000 0.0000 0.3129 [6 per cell]
5 O 0.0067 0.3868 0.1164 [18 per cell]

***

(2)
VASP calculation (GGA+U) on a relaxed structure of Al4Si2Ni13Sb2O28.

As for the density: 5.07 g cm⁻³. The calculation puts the size of the total moment at 51.997 μB per cell. The total DFT energy (no corrections) is -5.9479 eV/atom.

a = 5.430 Å, b = 22.659 Å, c = 8.770 Å
α = 90.00°, β = 100.63°, γ = 90.00°
Space group C2/m (No. 12)
Asymmetric unit:
1 Al 0.224 0.215 0.172 [8 per cell]
2 Si 0.235 0.500 0.189 [4 per cell]
3 Ni 0.000 0.072 0.500 [4 per cell]
4 Ni 0.000 0.213 0.500 [4 per cell]
5 Ni 0.000 0.500 0.500 [2 per cell]
6 Ni 0.216 0.356 0.141 [8 per cell]
7 Ni 0.223 0.069 0.146 [8 per cell]
8 Sb 0.000 0.360 0.500 [4 per cell]
9 O 0.068 0.500 0.855 [4 per cell]
10 O 0.105 0.223 0.865 [8 per cell]
11 O 0.155 0.060 0.885 [8 per cell]
12 O 0.167 0.351 0.900 [8 per cell]
13 O 0.188 0.000 0.621 [4 per cell]
14 O 0.196 0.290 0.617 [8 per cell]
15 O 0.200 0.425 0.619 [8 per cell]
16 O 0.220 0.144 0.622 [8 per cell]